Entry 1:
Entry from the Alexandria database: a relaxed structure of YAgSeO4 (PBE).

abc: 6.5525 6.5525 6.5525
angles: 114.08 112.98 101.63
Closest atoms and distances in Å follow each position.
Sites, in units of the cell vectors:
Y 0.5000 0.0000 0.0000  6 O 2.29-2.41
Y 0.5000 0.5000 0.5000  6 O 2.29-2.41
Ag 0.0000 0.0000 0.0000  2 O 2.11
Ag 0.5000 0.0000 0.5000  2 O 2.11
Se 0.0888 0.3388 0.7500  2 O 1.70
Se 0.9112 0.6612 0.2500  2 O 1.70
O 0.2141 0.2743 0.5603  1 Se 1.70
O 0.2141 0.6538 0.9397  1 Se 1.70
O 0.2992 0.7489 0.5503  1 Ag 2.11, 1 Se 2.29, 2 Y 2.29
O 0.3015 0.2511 0.0503  1 Ag 2.11, 1 Se 2.29, 2 Y 2.29
O 0.6985 0.7489 0.9497  1 Ag 2.11, 1 Se 2.29, 2 Y 2.29
O 0.7008 0.2511 0.4497  1 Ag 2.11, 1 Se 2.29, 2 Y 2.29
O 0.7859 0.3462 0.0603  1 Se 1.70
O 0.7859 0.7257 0.4397  1 Se 1.70

Output
- ΔE_f (raw): -1.525 eV/atom
- Raw total energy: -6.19 eV per atom
- Mass density: 5.3 g/cm³
- Symmetry: Imma
- M_tot: 0.000 μB per formula unit



Entry 2:
Entry from the Alexandria database: a relaxed structure of Dy2Ge2Pd3 (PBE).

abc: 5.5315 5.5315 7.0153
angles: 111.35 111.35 42.15
Closest atoms and distances in Å follow each position.
Sites, in units of the cell vectors:
Dy 0.1285 0.1285 0.2645  4 Ge 2.94-3.07, 6 Pd 3.03-3.19
Dy 0.8715 0.8715 0.7355  4 Ge 2.94-3.07, 6 Pd 3.03-3.19
Ge 0.1569 0.1569 0.7161  5 Pd 2.61-2.64
Ge 0.8431 0.8431 0.2839  5 Pd 2.61-2.64
Pd 0.3779 0.3779 0.0641  3 Ge 2.61-2.63, 1 Pd 2.82
Pd 0.5000 0.5000 0.5000  4 Ge 2.64, 2 Pd 2.82
Pd 0.6221 0.6221 0.9359  3 Ge 2.61-2.63, 1 Pd 2.82

Output
- ΔE_f: -86 kJ/mol of atoms
- Raw total energy: -5.75 eV per atom
- Mass density: 9.9 g/cm³
- Symmetry: C2/m
- M_tot: 0.000 μB per formula unit



Entry 3:
Entry from the Alexandria database: a relaxed structure of Pr7AlBr12 (PBE).

abc: 9.6045 9.6045 9.6045
angles: 107.94 107.94 107.94
Closest atoms and distances in Å follow each position.
Sites, in units of the cell vectors:
Pr 0.0000 0.0000 0.0000  6 Br 2.99
Pr 0.1672 0.3864 0.4633  1 Al 2.91, 5 Br 3.02-3.13
Pr 0.3864 0.4633 0.1672  1 Al 2.91, 5 Br 3.02-3.13
Pr 0.4633 0.1672 0.3864  1 Al 2.91, 5 Br 3.02-3.13
Pr 0.5367 0.8328 0.6136  1 Al 2.91, 5 Br 3.02-3.13
Pr 0.6136 0.5367 0.8328  1 Al 2.91, 5 Br 3.02-3.13
Pr 0.8328 0.6136 0.5367  1 Al 2.91, 5 Br 3.02-3.13
Al 0.5000 0.5000 0.5000  6 Pr 2.91
Br 0.0271 0.3379 0.1087  3 Pr 2.99-3.08
Br 0.1087 0.0271 0.3379  3 Pr 2.99-3.08
Br 0.1918 0.7272 0.5781  3 Pr 3.02-3.13
Br 0.2728 0.4219 0.8082  3 Pr 3.02-3.13
Br 0.3379 0.1087 0.0271  3 Pr 2.99-3.08
Br 0.4219 0.8082 0.2728  3 Pr 3.02-3.13
Br 0.5781 0.1918 0.7272  3 Pr 3.02-3.13
Br 0.6621 0.8913 0.9729  3 Pr 2.99-3.08
Br 0.7272 0.5781 0.1918  3 Pr 3.02-3.13
Br 0.8082 0.2728 0.4219  3 Pr 3.02-3.13
Br 0.8913 0.9729 0.6621  3 Pr 2.99-3.08
Br 0.9729 0.6621 0.8913  3 Pr 2.99-3.08

Output
- ΔE_f (raw): -1.575 eV/atom
- Raw total energy: -4.44 eV per atom
- Mass density: 4.6 g/cm³
- Symmetry: R-3
- M_tot: 0.000 μB per formula unit



Entry 4:
Entry from the Alexandria database: a relaxed structure of Ac3Tl3GaSe8 (PBE).

abc: 9.1389 9.1389 9.1389
angles: 58.22 58.22 58.22
Closest atoms and distances in Å follow each position.
Sites, in units of the cell vectors:
Ac 0.0000 0.5000 0.5000  6 Se 3.08-3.14
Ac 0.5000 0.0000 0.5000  6 Se 3.08-3.14
Ac 0.5000 0.5000 0.0000  6 Se 3.08-3.14
Tl 0.0000 0.0000 0.5000  6 Se 3.30-3.31
Tl 0.0000 0.5000 0.0000  6 Se 3.30-3.31
Tl 0.5000 0.0000 0.0000  6 Se 3.30-3.31
Ga 0.0000 0.0000 0.0000  6 Se 2.71
Se 0.2127 0.2127 0.7768  1 Ga 2.71
Se 0.2127 0.7768 0.2127  1 Ga 2.71
Se 0.2232 0.7873 0.7873  1 Ga 2.71
Se 0.2585 0.2585 0.2585  3 Ac 3.08, 3 Tl 3.31
Se 0.7415 0.7415 0.7415  3 Ac 3.08, 3 Tl 3.31
Se 0.7768 0.2127 0.2127  1 Ga 2.71
Se 0.7873 0.2232 0.7873  1 Ga 2.71
Se 0.7873 0.7873 0.2232  1 Ga 2.71

Output
- ΔE_f (raw): -1.112 eV/atom
- Raw total energy: -4.47 eV per atom
- Mass density: 6.4 g/cm³
- Symmetry: R-3m
- M_tot: 0.000 μB per formula unit



Entry 5:
Entry from the Alexandria database: a relaxed structure of BaInNi (PBE).

abc: 5.0772 4.3392 8.1968
angles: 90.00 98.16 90.00
Closest atoms and distances in Å follow each position.
Sites, in units of the cell vectors:
Ba 0.2174 0.2500 0.3106  3 Ni 2.98-3.24
Ba 0.7826 0.7500 0.6894  3 Ni 2.98-3.24
In 0.3374 0.2500 0.8732  4 Ni 2.68-2.73
In 0.6626 0.7500 0.1268  4 Ni 2.68-2.73
Ni 0.1334 0.7500 0.0139  2 Ni 2.55, 4 In 2.68-2.73
Ni 0.8666 0.2500 0.9861  2 Ni 2.55, 4 In 2.68-2.73

Output
- ΔE_f: -24 kJ/mol of atoms
- Raw total energy: -3.73 eV per atom
- Mass density: 5.8 g/cm³
- Symmetry: P2_1/m
- M_tot: 0.000 μB per formula unit



Entry 6:
Entry from the Alexandria database: a relaxed structure of DyPuZnOs (PBE).

abc: 4.8993 4.8993 4.8993
angles: 60.00 60.00 60.00
Closest atoms and distances in Å follow each position.
Sites, in units of the cell vectors:
Dy 0.0000 0.0000 0.0000  4 Os 3.00, 4 Zn 3.00
Pu 0.5000 0.5000 0.5000  4 Os 3.00, 4 Zn 3.00
Zn 0.7500 0.7500 0.7500  4 Dy 3.00, 4 Pu 3.00
Os 0.2500 0.2500 0.2500  4 Dy 3.00, 4 Pu 3.00

Output
- ΔE_f: -11 kJ/mol of atoms
- Raw total energy: -7.98 eV per atom
- Mass density: 13.2 g/cm³
- Symmetry: F-43m
- M_tot: 5.221 μB per formula unit



Entry 7:
Entry from the Alexandria database: a relaxed structure of Rb3NaN8 (PBE).

abc: 7.7941 7.7941 6.1218
angles: 112.87 112.87 112.92
Closest atoms and distances in Å follow each position.
Sites, in units of the cell vectors:
Rb 0.0000 0.0000 0.0000  10 N 2.87-3.12
Rb 0.2509 0.7518 0.5013  12 N 3.08-3.31
Rb 0.7518 0.2509 0.5013  12 N 3.08-3.31
Na 0.5004 0.5004 0.0004  6 N 2.44-2.48
N 0.0962 0.0962 0.5960  1 N 1.17
N 0.2223 0.7806 0.0014  1 N 1.19
N 0.3138 0.6891 0.0014  1 N 1.19
N 0.5000 0.5000 0.4042  1 N 1.17
N 0.4996 0.4996 0.5954  1 N 1.17
N 0.6891 0.3138 0.0014  1 N 1.19
N 0.7806 0.2223 0.0014  1 N 1.19
N 0.9046 0.9046 0.4048  1 N 1.17

Output
- ΔE_f (raw): -0.108 eV/atom
- Raw total energy: -6.01 eV per atom
- Mass density: 2.7 g/cm³
- Symmetry: Cm
- M_tot: 1.986 μB per formula unit



Entry 8:
Entry from the Alexandria database: a relaxed structure of BeTcHg2 (PBE).

abc: 4.0435 4.0435 4.1029
angles: 90.00 90.00 90.00
Closest atoms and distances in Å follow each position.
Sites, in units of the cell vectors:
Be 0.0000 0.0000 0.0000  4 Tc 2.86, 8 Hg 2.88
Tc 0.5000 0.5000 0.0000  4 Be 2.86, 8 Hg 2.88
Hg 0.0000 0.5000 0.5000  4 Hg 2.86, 4 Tc 2.88, 4 Be 2.88
Hg 0.5000 0.0000 0.5000  4 Hg 2.86, 4 Tc 2.88, 4 Be 2.88

Output
- ΔE_f: 55 kJ/mol of atoms
- Raw total energy: -3.11 eV per atom
- Mass density: 12.6 g/cm³
- Symmetry: P4/mmm
- M_tot: 1.069 μB per formula unit



Q: Number 3 is which compound?
A: Pr7AlBr12